i.
{
  "formula": "CaSn3N",
  "functional": "GGA-PBE",
  "state": "optimized geometry",
  "n_ef_per_ev_atom": 1.1195,
  "sg": "No. 221",
  "lattice_angstrom": [[5.8913, 0.0000, 0.0000], [0.0000, 5.8913, 0.0000], [0.0000, 0.0000, 5.8913]],
  "species": ["Ca", "Sn", "Sn", "Sn", "N"],
  "frac_coords": [[0.0000, 0.0000, 0.0000], [0.0000, 0.0000, 0.5000], [0.0000, 0.5000, 0.0000], [0.5000, 0.0000, 0.0000], [0.5000, 0.5000, 0.5000]]
}


ii.
{
  "formula": "CaSn3N",
  "functional": "GGA-PBE",
  "state": "optimized geometry",
  "n_ef_per_ev_atom": 0.9263,
  "sg": "No. 221",
  "lattice_angstrom": [[4.9010, 0.0000, 0.0000], [0.0000, 4.9010, 0.0000], [0.0000, 0.0000, 4.9010]],
  "species": ["Ca", "Sn", "Sn", "Sn", "N"],
  "frac_coords": [[0.0000, 0.0000, 0.0000], [0.0000, 0.5000, 0.5000], [0.5000, 0.0000, 0.5000], [0.5000, 0.5000, 0.0000], [0.5000, 0.5000, 0.5000]]
}


Most stable: ii (next structure +1425 meV/atom)